AgSnIr | PBE | optimized geometry

Magnetic moment (μB/atom): 0.001
SG: F-43m (216)
DFT total energy (eV for the cell shown): -15.5
E above lowest polymorph (meV/atom): 0

Lattice parameters (Å, degrees): 4.4441 4.4441 4.4441 60.00 60.00 60.00
With the nearest neighbours (Å) after each atom.
Sites, in units of the cell vectors:
1 Ag 0.2500 0.2500 0.2500  4 Ir 2.72
2 Ir 0.0000 0.0000 0.0000  4 Sn 2.72, 4 Ag 2.72
3 Sn 0.7500 0.7500 0.7500  4 Ir 2.72

AgSn2Ir | PBE | optimized geometry

Magnetic moment (μB/atom): 0.002
SG: F-43m (216)
DFT total energy (eV for the cell shown): -18.3

Lattice parameters (Å, degrees): 4.8476 4.8476 4.8476 60.00 60.00 60.00
With the nearest neighbours (Å) after each atom.
Sites, in units of the cell vectors:
1 Ag 0.5000 0.5000 0.5000  4 Ir 2.97, 4 Sn 2.97
2 Ir 0.7500 0.7500 0.7500  4 Ag 2.97, 4 Sn 2.97
3 Sn 0.0000 0.0000 0.0000  4 Ir 2.97, 4 Sn 2.97
4 Sn 0.2500 0.2500 0.2500  4 Ag 2.97, 4 Sn 2.97

AgSnIr2 | PBE | optimized geometry

Magnetic moment (μB/atom): 0.107
SG: F-43m (216)
DFT total energy (eV for the cell shown): -23.2

Lattice parameters (Å, degrees): 4.5683 4.5683 4.5683 60.00 60.00 60.00
With the nearest neighbours (Å) after each atom.
Sites, in units of the cell vectors:
1 Ag 0.2500 0.2500 0.2500  4 Sn 2.80, 4 Ir 2.80
2 Ir 0.0000 0.0000 0.0000  4 Ag 2.80, 4 Ir 2.80
3 Ir 0.7500 0.7500 0.7500  4 Sn 2.80, 4 Ir 2.80
4 Sn 0.5000 0.5000 0.5000  4 Ag 2.80, 4 Ir 2.80

Ag2SnIr | PBE | optimized geometry

Magnetic moment (μB/atom): 0.001
SG: F-43m (216)
DFT total energy (eV for the cell shown): -18.1

Lattice parameters (Å, degrees): 4.6282 4.6282 4.6282 60.00 60.00 60.00
With the nearest neighbours (Å) after each atom.
Sites, in units of the cell vectors:
1 Ag 0.0000 0.0000 0.0000  4 Ir 2.83, 4 Ag 2.83
2 Ag 0.7500 0.7500 0.7500  4 Sn 2.83, 4 Ag 2.83
3 Ir 0.2500 0.2500 0.2500  4 Sn 2.83, 4 Ag 2.83
4 Sn 0.5000 0.5000 0.5000  4 Ir 2.83, 4 Ag 2.83

SrAgIr | PBE | optimized geometry

Magnetic moment (μB/atom): 0.001
SG: F-43m (216)
DFT total energy (eV for the cell shown): -12.4
E above lowest polymorph (meV/atom): 0

Lattice parameters (Å, degrees): 4.7503 4.7503 4.7503 60.00 60.00 60.00
With the nearest neighbours (Å) after each atom.
Sites, in units of the cell vectors:
1 Ag 0.2500 0.2500 0.2500  4 Ir 2.91
2 Ir 0.0000 0.0000 0.0000  4 Sr 2.91, 4 Ag 2.91
3 Sr 0.7500 0.7500 0.7500  4 Ir 2.91

SrAgIr | PBE | optimized geometry

Magnetic moment (μB/atom): 0.001
SG: F-43m (216)
DFT total energy (eV for the cell shown): -10.7
E above lowest polymorph (meV/atom): 559

Lattice parameters (Å, degrees): 4.8341 4.8341 4.8341 60.00 60.00 60.00
With the nearest neighbours (Å) after each atom.
Sites, in units of the cell vectors:
1 Ag 0.2500 0.2500 0.2500  4 Sr 2.96
2 Ir 0.7500 0.7500 0.7500  4 Sr 2.96
3 Sr 0.0000 0.0000 0.0000  4 Ag 2.96, 4 Ir 2.96

TaAgIr2 | PBE | optimized geometry

Energy of formation from the pure elements (eV/atom): 0.22
Magnetic moment (μB/atom): 0.001
SG: F-43m (216)
DFT total energy (eV for the cell shown): -31.5

Lattice parameters (Å, degrees): 4.5018 4.5018 4.5018 60.00 60.00 60.00
With the nearest neighbours (Å) after each atom.
Sites, in units of the cell vectors:
1 Ag 0.7500 0.7500 0.7500  4 Ir 2.76, 4 Ta 2.76
2 Ir 0.2500 0.2500 0.2500  4 Ir 2.76, 4 Ta 2.76
3 Ir 0.5000 0.5000 0.5000  4 Ir 2.76, 4 Ag 2.76
4 Ta 0.0000 0.0000 0.0000  4 Ag 2.76, 4 Ir 2.76

TbAgIr | PBE | optimized geometry

Energy of formation from the pure elements (eV/atom): -0.16
Magnetic moment (μB/atom): 0.002
SG: F-43m (216)
DFT total energy (eV for the cell shown): -16.8
E above lowest polymorph (meV/atom): 0

Lattice parameters (Å, degrees): 4.6169 4.6169 4.6169 60.00 60.00 60.00
With the nearest neighbours (Å) after each atom.
Sites, in units of the cell vectors:
1 Ag 0.7500 0.7500 0.7500  4 Ir 2.83
2 Ir 0.0000 0.0000 0.0000  4 Ag 2.83, 4 Tb 2.83
3 Tb 0.2500 0.2500 0.2500  4 Ir 2.83

Tb2TmTl3AgIr2 | PBE | optimized geometry

Magnetic moment (μB/atom): 0.002
SG: Amm2 (38)
DFT total energy (eV for the cell shown): -45.2

Lattice parameters (Å, degrees): 3.7932 7.8338 7.8338 119.68 90.00 90.00
With the nearest neighbours (Å) after each atom.
Sites, in units of the cell vectors:
1 Ag 0.0000 0.9990 0.9990  6 Tl 2.85-2.87
2 Ir 0.5000 0.6661 0.3371  3 Tl 2.87-2.92, 2 Tm 3.00, 4 Tb 3.04-3.06
3 Ir 0.5000 0.3371 0.6661  3 Tl 2.87-2.92, 2 Tm 3.00, 4 Tb 3.04-3.06
4 Tb 0.0000 0.9993 0.4103  4 Ir 3.04-3.06, 2 Tl 3.13, 1 Ag 3.22
5 Tb 0.0000 0.4103 0.9993  4 Ir 3.04-3.06, 2 Tl 3.13, 1 Ag 3.22
6 Tl 0.5000 0.2720 0.2720  2 Ag 2.87, 2 Ir 2.87, 2 Tm 3.13
7 Tl 0.5000 0.9997 0.7285  2 Ag 2.85, 2 Ir 2.88-2.92, 2 Tb 3.13
8 Tl 0.5000 0.7285 0.9997  2 Ag 2.85, 2 Ir 2.88-2.92, 2 Tb 3.13
9 Tm 0.0000 0.5880 0.5880  4 Ir 3.00, 2 Tl 3.13, 1 Ag 3.24

TcAgIr | PBE | optimized geometry

Energy of formation from the pure elements (eV/atom): 0.72
Magnetic moment (μB/atom): 0.068
SG: F-43m (216)
DFT total energy (eV for the cell shown): -19.9
E above lowest polymorph (meV/atom): 0

Lattice parameters (Å, degrees): 4.2548 4.2548 4.2548 60.00 60.00 60.00
With the nearest neighbours (Å) after each atom.
Sites, in units of the cell vectors:
1 Ag 0.2500 0.2500 0.2500  4 Ir 2.61
2 Ir 0.0000 0.0000 0.0000  4 Tc 2.61, 4 Ag 2.61
3 Tc 0.7500 0.7500 0.7500  4 Ir 2.61

AgTeIr | PBE | optimized geometry

Magnetic moment (μB/atom): 0.003
SG: F-43m (216)
DFT total energy (eV for the cell shown): -13.3

Lattice parameters (Å, degrees): 4.4866 4.4866 4.4866 60.00 60.00 60.00
With the nearest neighbours (Å) after each atom.
Sites, in units of the cell vectors:
1 Ag 0.2500 0.2500 0.2500  4 Te 2.75
2 Ir 0.7500 0.7500 0.7500  4 Te 2.75
3 Te 0.0000 0.0000 0.0000  4 Ag 2.75, 4 Ir 2.75

AgTe5Ir3 | PBE | optimized geometry

Magnetic moment (μB/atom): 0.001
SG: P6/mmm (191)
DFT total energy (eV for the cell shown): -43.1

Lattice parameters (Å, degrees): 5.7554 5.7554 7.7931 90.00 90.00 120.00
With the nearest neighbours (Å) after each atom.
Sites, in units of the cell vectors:
1 Ag 0.0000 0.0000 0.0000  14 Te 3.75-3.90
2 Ir 0.5000 0.0000 0.5000  6 Te 2.73-2.88, 4 Ir 2.88
3 Ir 0.0000 0.5000 0.5000  6 Te 2.73-2.88, 4 Ir 2.88
4 Ir 0.5000 0.5000 0.5000  6 Te 2.73-2.88, 4 Ir 2.88
5 Te 0.6667 0.3333 0.2221  3 Ir 2.73
6 Te 0.3333 0.6667 0.2221  3 Ir 2.73
7 Te 0.0000 0.0000 0.5000  6 Ir 2.88
8 Te 0.6667 0.3333 0.7779  3 Ir 2.73
9 Te 0.3333 0.6667 0.7779  3 Ir 2.73

Copy entry 12 word for word.
AgTe5Ir3 | PBE | optimized geometry

Magnetic moment (μB/atom): 0.001
SG: P6/mmm (191)
DFT total energy (eV for the cell shown): -43.1

Lattice parameters (Å, degrees): 5.7554 5.7554 7.7931 90.00 90.00 120.00
With the nearest neighbours (Å) after each atom.
Sites, in units of the cell vectors:
1 Ag 0.0000 0.0000 0.0000  14 Te 3.75-3.90
2 Ir 0.5000 0.0000 0.5000  6 Te 2.73-2.88, 4 Ir 2.88
3 Ir 0.0000 0.5000 0.5000  6 Te 2.73-2.88, 4 Ir 2.88
4 Ir 0.5000 0.5000 0.5000  6 Te 2.73-2.88, 4 Ir 2.88
5 Te 0.6667 0.3333 0.2221  3 Ir 2.73
6 Te 0.3333 0.6667 0.2221  3 Ir 2.73
7 Te 0.0000 0.0000 0.5000  6 Ir 2.88
8 Te 0.6667 0.3333 0.7779  3 Ir 2.73
9 Te 0.3333 0.6667 0.7779  3 Ir 2.73

Question: Which of these has the lowest DFT total energy?
Answer: Tb2TmTl3AgIr2

Question: The lowest DFT total energy belongs to which entry?
Answer: Tb2TmTl3AgIr2